No. 1
PrYHg, optimized geometry, DFT PBE-GGA; Fermi-level density of states = 12.099 states/eV/cell; energy above the lowest structure with this stoichiometry = 13 kJ/mol of formula units; total energy = -37.34 eV per cell; ΔE_f = -28.9 kJ per mole of atoms; total magnetic moment = 0.001 μB/f.u.
1.0
-2.736 -0.146 -3.948
5.843 -4.055 -3.900
-5.705 -4.053 4.103
Y Hg Pr
3 3 3
Direct
0.000 0.268 0.000 Y
0.000 0.732 0.732 Y
0.000 0.000 0.268 Y
0.000 0.667 0.333 Hg
0.000 0.333 0.667 Hg
0.500 0.000 0.000 Hg
0.500 0.394 0.394 Pr
0.500 0.606 0.000 Pr
0.500 0.000 0.606 Pr

No. 2
PrYHg3, optimized geometry, DFT PBE-GGA; Fermi-level density of states = 10.651 states/eV/cell; total energy = -28.72 eV per cell; ΔE_f = -42.7 kJ per mole of atoms; total magnetic moment = 0.323 μB/f.u.
1.0
-1.492 1.812 2.806
-0.640 -4.285 2.427
13.982 0.565 4.686
Hg Pr Y
6 2 2
Direct
0.683 0.250 0.367 Hg
0.377 0.250 0.753 Hg
0.623 0.750 0.247 Hg
0.317 0.750 0.633 Hg
0.524 0.750 0.049 Hg
0.476 0.250 0.951 Hg
0.924 0.750 0.848 Pr
0.076 0.250 0.152 Pr
0.790 0.250 0.580 Y
0.210 0.750 0.420 Y

No. 3
Pr2YHg2, optimized geometry, DFT PBE-GGA; Fermi-level density of states = 10.985 states/eV/cell; energy above the lowest structure with this stoichiometry = 0 kJ/mol of formula units; total energy = -37.01 eV per cell; ΔE_f = -36.2 kJ per mole of atoms; total magnetic moment = 0.349 μB/f.u.
1.0
-1.417 1.230 -3.303
-4.766 0.863 2.366
4.718 12.680 4.875
Hg Pr Y
4 4 2
Direct
0.442 0.750 0.888 Hg
0.558 0.250 0.112 Hg
0.640 0.750 0.280 Hg
0.360 0.250 0.720 Hg
0.954 0.250 0.911 Pr
0.046 0.750 0.089 Pr
0.232 0.750 0.467 Pr
0.768 0.250 0.533 Pr
0.147 0.250 0.292 Y
0.853 0.750 0.708 Y

No. 4
PrYHg, optimized geometry, DFT PBE-GGA; Fermi-level density of states = 3.575 states/eV/cell; energy above the lowest structure with this stoichiometry = 10 kJ/mol of formula units; total energy = -12.48 eV per cell; ΔE_f = -30.1 kJ per mole of atoms; total magnetic moment = 0.668 μB/f.u.
1.0
3.712 0.000 0.000
0.000 3.712 0.000
-1.856 -1.856 6.503
Y Hg Pr
1 1 1
Direct
0.314 0.314 0.629 Y
0.676 0.676 0.351 Hg
0.010 0.010 0.020 Pr

No. 5
Pr3Y2Hg2, optimized geometry, DFT PBE-GGA; Fermi-level density of states = 8.516 states/eV/cell; energy above the lowest structure with this stoichiometry = 86 kJ/mol of formula units; total energy = -28.67 eV per cell; ΔE_f = -11.1 kJ per mole of atoms; total magnetic moment = 0.001 μB/f.u.
1.0
-3.632 -1.219 3.204
0.707 -3.473 -0.520
5.928 -0.363 10.474
Pr Y Hg
3 2 2
Direct
0.000 0.000 0.000 Pr
0.142 0.000 0.716 Pr
0.858 0.000 0.284 Pr
0.291 0.500 0.417 Y
0.709 0.500 0.583 Y
0.429 0.500 0.142 Hg
0.571 0.500 0.858 Hg

No. 6
Pr3YHg2, optimized geometry, DFT PBE-GGA; Fermi-level density of states = 7.520 states/eV/cell; energy above the lowest structure with this stoichiometry = 0 kJ/mol of formula units; total energy = -46.79 eV per cell; ΔE_f = -32.0 kJ per mole of atoms; total magnetic moment = 0.000 μB/f.u.
1.0
5.322 0.000 0.000
0.000 7.127 0.000
0.000 0.000 9.672
Pr Hg Y
6 4 2
Direct
0.000 0.822 0.671 Pr
0.000 0.322 0.329 Pr
0.000 0.986 0.054 Pr
0.000 0.486 0.946 Pr
0.500 0.675 0.176 Pr
0.500 0.175 0.824 Pr
0.500 0.228 0.153 Hg
0.000 0.274 0.647 Hg
0.000 0.774 0.353 Hg
0.500 0.728 0.847 Hg
0.500 0.015 0.447 Y
0.500 0.515 0.553 Y

No. 7
Pr5YHg4, optimized geometry, DFT PBE-GGA; Fermi-level density of states = 12.294 states/eV/cell; total energy = -35.21 eV per cell; ΔE_f = -35.1 kJ per mole of atoms; total magnetic moment = 1.479 μB/f.u.
1.0
-2.771 2.410 1.123
-1.731 -0.404 -3.405
-10.725 -15.743 7.323
Pr Hg Y
5 4 1
Direct
0.500 0.500 0.310 Pr
0.500 0.500 0.690 Pr
0.500 0.500 0.119 Pr
0.500 0.500 0.881 Pr
0.500 0.500 0.500 Pr
0.000 0.000 0.595 Hg
0.000 0.000 0.212 Hg
0.000 0.000 0.405 Hg
0.000 0.000 0.788 Hg
0.000 0.000 0.000 Y

No. 8
Pr3YHg5, optimized geometry, DFT PBE-GGA; Fermi-level density of states = 18.559 states/eV/cell; total energy = -52.49 eV per cell; ΔE_f = -42.2 kJ per mole of atoms; total magnetic moment = 0.000 μB/f.u.
1.0
6.718 0.000 0.000
0.000 8.088 -4.669
0.000 0.000 9.339
Pr Y Hg
6 2 10
Direct
0.750 0.372 0.372 Pr
0.250 0.628 0.628 Pr
0.250 0.372 0.000 Pr
0.250 0.000 0.372 Pr
0.750 0.000 0.628 Pr
0.750 0.628 0.000 Pr
0.500 0.000 0.000 Y
0.000 0.000 0.000 Y
0.250 0.707 0.000 Hg
0.500 0.333 0.667 Hg
0.250 0.293 0.293 Hg
0.500 0.667 0.333 Hg
0.750 0.707 0.707 Hg
0.000 0.333 0.667 Hg
0.750 0.000 0.293 Hg
0.250 0.000 0.707 Hg
0.000 0.667 0.333 Hg
0.750 0.293 0.000 Hg